This record from Alexandria via LeMat-Bulk describes a relaxed structure of YRu3C. The functional is PBE.

a b c (Å): 3.363 3.363 16.821
angles (deg): 90.00 90.00 120.00
Positions (direct):
Y: 0.000 0.000 0.000
Y: 0.000 0.000 0.500
Ru: 0.000 0.000 0.250
Ru: 0.000 0.000 0.750
Ru: 0.333 0.667 0.129
Ru: 0.333 0.667 0.371
Ru: 0.667 0.333 0.629
Ru: 0.667 0.333 0.871
C: 0.333 0.667 0.250
C: 0.667 0.333 0.750

Output
**Formation energy from the elements**: 0.5184 eV per atom
**Fermi-level density of states**: 9.19 states/eV/cell
**Space-group type**: P6_3/mmc (194)
**Energy**: -0.60157 Ry/atom


This record from Alexandria via LeMat-Bulk describes a relaxed structure of K2SrP2O6. The functional is PBE.

a b c (Å): 5.966 5.966 7.010
angles (deg): 117.97 117.97 59.80
Positions (direct):
K: 0.212 0.212 0.189
K: 0.788 0.788 0.811
Sr: 0.000 0.000 0.500
P: 0.462 0.462 0.819
P: 0.538 0.538 0.181
O: 0.254 0.686 0.216
O: 0.285 0.285 0.676
O: 0.314 0.746 0.784
O: 0.686 0.254 0.216
O: 0.715 0.715 0.324
O: 0.746 0.314 0.784

Output
**Fermi-level density of states**: 0.00 states/eV/cell
**Formation energy from raw total energies**: -235 kJ/mol of atoms
**Space-group type**: C2/m (12)
**Energy**: -0.47619 Ry/atom


Question: The highest energy belongs to which entry?
Answer: K2SrP2O6